Compound: AgBiClO2
Source: the Open Quantum Materials Database
Functional: PBE-GGA
Structure: optimized geometry

Summary:
**Space group**: P2_1/m, No. 11
**Energy**: -4.43 eV per atom

Unit cell a=6.1760 b=4.2294 c=7.3571 alpha=90.00 beta=102.18 gamma=90.00
Closest atoms and distances in Å follow each position.
Atoms (fractional coordinates):
O  0.9421  0.2500  0.5790  3 Bi 2.19-2.26
O  0.0579  0.7500  0.4210  3 Bi 2.19-2.26
O  0.0677  0.7500  0.8936  3 Ag 2.21, 1 Bi 2.31
O  0.9323  0.2500  0.1064  3 Ag 2.21, 1 Bi 2.31
Ag  0.1732  0.2500  0.9227  3 O 2.21, 1 Cl 2.47
Ag  0.8268  0.7500  0.0773  3 O 2.21, 1 Cl 2.47
Bi  0.1749  0.2500  0.3917  4 O 2.19-2.31
Bi  0.8251  0.7500  0.6083  4 O 2.19-2.31
Cl  0.5093  0.7500  0.2327  1 Ag 2.47
Cl  0.4907  0.2500  0.7673  1 Ag 2.47

Compound: Rb2AgBiCl6
Source: the Open Quantum Materials Database
Functional: PBE-GGA
Structure: optimized geometry

Summary:
**Space group**: C2/m, No. 12
**Energy above the most stable polymorph in this dataset**: 16 meV/atom

Unit cell a=7.6322 b=7.6322 c=7.6316 alpha=119.95 beta=119.95 gamma=60.05
Closest atoms and distances in Å follow each position.
Atoms (fractional coordinates):
Rb  0.7499  0.7499  0.2500  12 Cl 3.80-3.83
Rb  0.2501  0.2501  0.7500  12 Cl 3.80-3.83
Cl  0.7498  0.2520  0.7495  1 Ag 2.69, 1 Bi 2.71
Cl  0.2502  0.7480  0.2505  1 Ag 2.69, 1 Bi 2.71
Cl  0.7480  0.2502  0.2505  1 Ag 2.69, 1 Bi 2.71
Cl  0.2512  0.2512  0.2526  1 Ag 2.69, 1 Bi 2.71
Cl  0.2520  0.7498  0.7495  1 Ag 2.69, 1 Bi 2.71
Cl  0.7488  0.7488  0.7474  1 Ag 2.69, 1 Bi 2.71
Ag  0.5000  0.5000  0.5000  6 Cl 2.69
Bi  0.0000  0.0000  0.0000  6 Cl 2.71

Compound: Rb2AgBiCl6
Source: the Open Quantum Materials Database
Functional: PBE-GGA
Structure: optimized geometry

Summary:
**Space group**: P2_1/c, No. 14
**Energy above the most stable polymorph in this dataset**: 0 meV/atom

Unit cell a=7.4583 b=7.6587 c=12.9901 alpha=90.00 beta=124.58 gamma=90.00
Closest atoms and distances in Å follow each position.
Atoms (fractional coordinates):
Bi  0.5000  0.0000  0.0000  6 Cl 2.73-2.74
Bi  0.5000  0.5000  0.5000  6 Cl 2.73-2.74
Cl  0.1617  0.7002  0.4598  1 Bi 2.74, 1 Ag 2.78
Cl  0.7322  0.7980  0.5355  1 Bi 2.74, 1 Ag 2.76
Cl  0.3248  0.5074  0.2496  1 Bi 2.73, 1 Ag 2.73
Cl  0.8383  0.2998  0.5402  1 Bi 2.74, 1 Ag 2.78
Cl  0.2678  0.2020  0.4645  1 Bi 2.74, 1 Ag 2.76
Cl  0.7322  0.7020  0.0355  1 Bi 2.74, 1 Ag 2.76
Cl  0.6752  0.4926  0.7504  1 Bi 2.73, 1 Ag 2.73
Cl  0.8383  0.2002  0.0402  1 Bi 2.74, 1 Ag 2.78
Cl  0.2678  0.2980  0.9645  1 Bi 2.74, 1 Ag 2.76
Cl  0.3248  0.9926  0.7496  1 Bi 2.73, 1 Ag 2.73
Cl  0.6752  0.0074  0.2504  1 Bi 2.73, 1 Ag 2.73
Cl  0.1617  0.7998  0.9598  1 Bi 2.74, 1 Ag 2.78
Rb  0.7669  0.0623  0.7515  8 Cl 3.31-3.63
Rb  0.2331  0.9377  0.2485  8 Cl 3.31-3.63
Rb  0.2331  0.5623  0.7485  8 Cl 3.31-3.63
Rb  0.7669  0.4377  0.2515  8 Cl 3.31-3.63
Ag  0.0000  0.0000  0.5000  6 Cl 2.73-2.78
Ag  0.0000  0.5000  0.0000  6 Cl 2.73-2.78

Compound: Rb2AgBiCl6
Source: the Open Quantum Materials Database
Functional: PBE-GGA
Structure: optimized geometry

Summary:
**Space group**: P-1, No. 2
**Energy above the most stable polymorph in this dataset**: 4 meV/atom

Unit cell a=7.4298 b=7.4741 c=11.0587 alpha=89.82 beta=89.67 gamma=89.90
Closest atoms and distances in Å follow each position.
Atoms (fractional coordinates):
Cl  0.4437  0.4680  0.2534  1 Bi 2.73, 1 Ag 2.81
Cl  0.1412  0.6384  0.9889  1 Ag 2.69, 1 Bi 2.73
Cl  0.2634  0.7651  0.5100  1 Ag 2.71, 1 Bi 2.73
Cl  0.4564  0.4319  0.7466  1 Bi 2.73, 1 Ag 2.81
Cl  0.7661  0.6366  0.5031  1 Ag 2.71, 1 Bi 2.73
Cl  0.9563  0.9313  0.2466  1 Bi 2.73, 1 Ag 2.81
Cl  0.1345  0.2632  0.4968  1 Ag 2.72, 1 Bi 2.73
Cl  0.2621  0.1414  0.0040  1 Ag 2.70, 1 Bi 2.73
Cl  0.9436  0.9686  0.7534  1 Bi 2.73, 1 Ag 2.81
Cl  0.6368  0.1348  0.4900  1 Ag 2.71, 1 Bi 2.73
Cl  0.7585  0.2616  0.0112  1 Ag 2.69, 1 Bi 2.73
Cl  0.6375  0.7589  0.9960  1 Ag 2.70, 1 Bi 2.73
Ag  0.9500  0.9499  0.5000  6 Cl 2.71-2.81
Ag  0.4498  0.4500  0.0000  6 Cl 2.69-2.81
Rb  0.4534  0.9569  0.7510  6 Cl 3.35-3.64
Rb  0.9556  0.4563  0.2490  6 Cl 3.35-3.63
Rb  0.4464  0.9434  0.2491  6 Cl 3.35-3.64
Rb  0.9447  0.4434  0.7510  6 Cl 3.35-3.63
Bi  0.9499  0.9500  0.0000  6 Cl 2.73
Bi  0.4502  0.4501  0.5000  6 Cl 2.73

Compound: Rb2AgBiCl6
Source: the Open Quantum Materials Database
Functional: PBE-GGA
Structure: optimized geometry

Summary:
**Space group**: R-3, No. 148
**Energy above the most stable polymorph in this dataset**: 16 meV/atom

Unit cell a=7.6383 b=7.6383 c=7.6383 alpha=59.93 beta=59.93 gamma=59.93
Closest atoms and distances in Å follow each position.
Atoms (fractional coordinates):
Cl  0.2496  0.7490  0.2530  1 Ag 2.69, 1 Bi 2.71
Cl  0.7490  0.2530  0.2496  1 Ag 2.69, 1 Bi 2.71
Cl  0.7470  0.7504  0.2510  1 Ag 2.69, 1 Bi 2.71
Cl  0.7504  0.2510  0.7470  1 Ag 2.69, 1 Bi 2.71
Cl  0.2510  0.7470  0.7504  1 Ag 2.69, 1 Bi 2.71
Cl  0.2530  0.2496  0.7490  1 Ag 2.69, 1 Bi 2.71
Rb  0.7500  0.7500  0.7500  12 Cl 3.80-3.83
Rb  0.2500  0.2500  0.2500  12 Cl 3.80-3.83
Ag  0.5000  0.5000  0.5000  6 Cl 2.69
Bi  0.0000  0.0000  0.0000  6 Cl 2.71

Compound: Rb2AgBiCl6
Source: the Open Quantum Materials Database
Functional: PBE-GGA
Structure: optimized geometry

Summary:
**Space group**: Fm-3m, No. 225
**Energy above the most stable polymorph in this dataset**: 17 meV/atom

Unit cell a=7.6322 b=7.6322 c=7.6322 alpha=60.00 beta=60.00 gamma=60.00
Closest atoms and distances in Å follow each position.
Atoms (fractional coordinates):
Rb  0.2500  0.2500  0.2500  12 Cl 3.82
Rb  0.7500  0.7500  0.7500  12 Cl 3.82
Bi  0.5000  0.5000  0.5000  6 Cl 2.71
Cl  0.7514  0.2486  0.7514  1 Ag 2.68, 1 Bi 2.71
Cl  0.2486  0.7514  0.2486  1 Ag 2.68, 1 Bi 2.71
Cl  0.7514  0.2486  0.2486  1 Ag 2.68, 1 Bi 2.71
Cl  0.7514  0.7514  0.2486  1 Ag 2.68, 1 Bi 2.71
Cl  0.2486  0.2486  0.7514  1 Ag 2.68, 1 Bi 2.71
Cl  0.2486  0.7514  0.7514  1 Ag 2.68, 1 Bi 2.71
Ag  0.0000  0.0000  0.0000  6 Cl 2.68

Compound: Rb2AgBiCl6
Source: the Open Quantum Materials Database
Functional: PBE-GGA
Structure: optimized geometry

Summary:
**Space group**: I4/m, No. 87
**Energy above the most stable polymorph in this dataset**: 4 meV/atom

Unit cell a=7.6270 b=7.6270 c=7.6270 alpha=121.51 beta=121.51 gamma=87.41
Closest atoms and distances in Å follow each position.
Atoms (fractional coordinates):
Cl  0.7521  0.7521  0.0000  1 Bi 2.73, 1 Ag 2.78
Cl  0.2479  0.2479  0.0000  1 Bi 2.73, 1 Ag 2.78
Cl  0.1885  0.3137  0.5022  1 Ag 2.71, 1 Bi 2.73
Cl  0.8115  0.6863  0.4978  1 Ag 2.71, 1 Bi 2.73
Cl  0.6863  0.1885  0.8748  1 Ag 2.71, 1 Bi 2.73
Cl  0.3137  0.8115  0.1252  1 Ag 2.71, 1 Bi 2.73
Ag  0.5000  0.5000  0.0000  6 Cl 2.71-2.78
Rb  0.2500  0.7500  0.5000  8 Cl 3.39-3.73
Rb  0.7500  0.2500  0.5000  8 Cl 3.39-3.73
Bi  0.0000  0.0000  0.0000  6 Cl 2.73

Compound: Rb2AgBiCl6
Source: the Open Quantum Materials Database
Functional: PBE-GGA
Structure: optimized geometry

Summary:
**Space group**: R-3m, No. 166
**Energy above the most stable polymorph in this dataset**: 26 meV/atom

Unit cell a=13.5560 b=13.5560 c=13.5560 alpha=32.20 beta=32.20 gamma=32.20
Closest atoms and distances in Å follow each position.
Atoms (fractional coordinates):
Bi  0.0000  0.0000  0.0000  6 Cl 2.70
Bi  0.5000  0.5000  0.5000  6 Cl 2.74
Cl  0.6309  0.6309  0.1155  1 Bi 2.74, 1 Ag 2.79
Cl  0.2939  0.7909  0.7909  1 Ag 2.67, 1 Bi 2.70
Cl  0.7061  0.2091  0.2091  1 Ag 2.67, 1 Bi 2.70
Cl  0.2091  0.2091  0.7061  1 Ag 2.67, 1 Bi 2.70
Cl  0.2091  0.7061  0.2091  1 Ag 2.67, 1 Bi 2.70
Cl  0.7909  0.7909  0.2939  1 Ag 2.67, 1 Bi 2.70
Cl  0.3691  0.3691  0.8845  1 Bi 2.74, 1 Ag 2.79
Cl  0.1155  0.6309  0.6309  1 Bi 2.74, 1 Ag 2.79
Cl  0.8845  0.3691  0.3691  1 Bi 2.74, 1 Ag 2.79
Cl  0.6309  0.1155  0.6309  1 Bi 2.74, 1 Ag 2.79
Cl  0.7909  0.2939  0.7909  1 Ag 2.67, 1 Bi 2.70
Cl  0.3691  0.8845  0.3691  1 Bi 2.74, 1 Ag 2.79
Ag  0.5843  0.5843  0.5843  6 Cl 2.67-2.79
Ag  0.4157  0.4157  0.4157  6 Cl 2.67-2.79
Rb  0.1243  0.1243  0.1243  12 Cl 3.76-3.87
Rb  0.7094  0.7094  0.7094  12 Cl 3.76-3.89
Rb  0.2906  0.2906  0.2906  12 Cl 3.76-3.89
Rb  0.8757  0.8757  0.8757  12 Cl 3.76-3.87

Compound: AgBi3S4Cl2
Source: the Open Quantum Materials Database
Functional: PBE-GGA
Structure: optimized geometry

Summary:
**Space group**: C2/m, No. 12
**Energy**: -3.99 eV per atom

Unit cell a=7.0075 b=7.0075 c=9.8240 alpha=93.53 beta=93.53 gamma=34.17
Closest atoms and distances in Å follow each position.
Atoms (fractional coordinates):
S  0.1469  0.1469  0.0604  1 Bi 2.57
S  0.8530  0.8530  0.9396  1 Bi 2.57
S  0.5807  0.5807  0.7677  1 Ag 2.59, 3 Bi 2.78-2.80
S  0.4193  0.4193  0.2323  1 Ag 2.59, 3 Bi 2.78-2.80
Bi  0.5000  0.5000  0.5000  2 S 2.78, 4 Cl 2.81
Bi  0.7813  0.7813  0.1759  3 S 2.57-2.80
Bi  0.2187  0.2187  0.8241  3 S 2.57-2.80
Cl  0.8686  0.8686  0.5635  2 Bi 2.81
Cl  0.1314  0.1314  0.4365  2 Bi 2.81
Ag  0.5000  0.5000  0.0000  6 S 2.59-2.88

Compound: AgBiTeCl2
Source: the Open Quantum Materials Database
Functional: PBE-GGA
Structure: optimized geometry

Summary:
**Space group**: Cmcm, No. 63
**Energy**: -3.26 eV per atom

Unit cell a=7.9675 b=7.9675 c=8.9478 alpha=90.00 beta=90.00 gamma=148.65
Closest atoms and distances in Å follow each position.
Atoms (fractional coordinates):
Cl  0.3292  0.6708  0.4389  3 Bi 2.91-3.15
Cl  0.6708  0.3292  0.9389  3 Bi 2.91-3.15
Cl  0.3292  0.6708  0.0611  3 Bi 2.91-3.15
Cl  0.6708  0.3292  0.5611  3 Bi 2.91-3.15
Ag  0.0000  0.0000  0.5000  2 Te 2.63
Ag  0.0000  0.0000  0.0000  2 Te 2.63
Bi  0.2730  0.7270  0.7500  6 Cl 2.91-3.15, 2 Te 3.00
Bi  0.7270  0.2730  0.2500  6 Cl 2.91-3.15, 2 Te 3.00
Te  0.0905  0.9095  0.2500  2 Ag 2.63
Te  0.9095  0.0905  0.7500  2 Ag 2.63

Compound: Tl2AgBiCl6
Source: the Open Quantum Materials Database
Functional: PBE-GGA
Structure: optimized geometry

Summary:
**Space group**: Fm-3m, No. 225
**Energy**: -3.15 eV per atom

Unit cell a=7.5918 b=7.5918 c=7.5918 alpha=60.00 beta=60.00 gamma=60.00
Closest atoms and distances in Å follow each position.
Atoms (fractional coordinates):
Cl  0.7520  0.7520  0.2480  1 Ag 2.66, 1 Bi 2.71
Cl  0.2480  0.7520  0.2480  1 Ag 2.66, 1 Bi 2.71
Cl  0.2480  0.2480  0.7520  1 Ag 2.66, 1 Bi 2.71
Cl  0.7520  0.2480  0.2480  1 Ag 2.66, 1 Bi 2.71
Cl  0.7520  0.2480  0.7520  1 Ag 2.66, 1 Bi 2.71
Cl  0.2480  0.7520  0.7520  1 Ag 2.66, 1 Bi 2.71
Ag  0.0000  0.0000  0.0000  6 Cl 2.66
Tl  0.2500  0.2500  0.2500  12 Cl 3.80
Tl  0.7500  0.7500  0.7500  12 Cl 3.80
Bi  0.5000  0.5000  0.5000  6 Cl 2.71

Compound: FeCoAgBi
Source: the Open Quantum Materials Database
Functional: PBE-GGA
Structure: optimized geometry

Summary:
**Size of the total moment**: 3.72 μB per cell
**Space group**: F-43m, No. 216
**Energy above the most stable polymorph in this dataset**: 0 meV/atom

Unit cell a=4.5265 b=4.5265 c=4.5265 alpha=60.00 beta=60.00 gamma=60.00
Closest atoms and distances in Å follow each position.
Atoms (fractional coordinates):
Ag  0.5000  0.5000  0.5000  4 Fe 2.77, 4 Co 2.77
Fe  0.2500  0.2500  0.2500  4 Bi 2.77, 4 Ag 2.77
Co  0.7500  0.7500  0.7500  4 Ag 2.77, 4 Bi 2.77
Bi  0.0000  0.0000  0.0000  4 Fe 2.77, 4 Co 2.77

Q: Which formula does entry 7 have?
A: Rb2AgBiCl6

Copy entry 10 word for word.
Compound: AgBiTeCl2
Source: the Open Quantum Materials Database
Functional: PBE-GGA
Structure: optimized geometry

Summary:
**Space group**: Cmcm, No. 63
**Energy**: -3.26 eV per atom

Unit cell a=7.9675 b=7.9675 c=8.9478 alpha=90.00 beta=90.00 gamma=148.65
Closest atoms and distances in Å follow each position.
Atoms (fractional coordinates):
Cl  0.3292  0.6708  0.4389  3 Bi 2.91-3.15
Cl  0.6708  0.3292  0.9389  3 Bi 2.91-3.15
Cl  0.3292  0.6708  0.0611  3 Bi 2.91-3.15
Cl  0.6708  0.3292  0.5611  3 Bi 2.91-3.15
Ag  0.0000  0.0000  0.5000  2 Te 2.63
Ag  0.0000  0.0000  0.0000  2 Te 2.63
Bi  0.2730  0.7270  0.7500  6 Cl 2.91-3.15, 2 Te 3.00
Bi  0.7270  0.2730  0.2500  6 Cl 2.91-3.15, 2 Te 3.00
Te  0.0905  0.9095  0.2500  2 Ag 2.63
Te  0.9095  0.0905  0.7500  2 Ag 2.63